First-principles (GGA-PBE) data for a relaxed structure of Pr5Ga2Se2, as listed in Alexandria via LeMat-Bulk.

Unit cell a=8.6957 b=8.6957 c=8.0088 alpha=90.00 beta=90.00 gamma=54.89
Positions (direct):
Pr 0.0000 0.0000 0.0000
Pr 0.0312 0.6865 0.6634
Pr 0.1865 0.5312 0.1634
Pr 0.3135 0.9688 0.6634
Pr 0.4688 0.8135 0.1634
Pr 0.5000 0.5000 0.5000
Pr 0.5312 0.1865 0.8366
Pr 0.6865 0.0312 0.3366
Pr 0.8135 0.4688 0.8366
Pr 0.9688 0.3135 0.3366
Ga 0.1205 0.8795 0.3842
Ga 0.3795 0.6205 0.8842
Ga 0.6205 0.3795 0.1158
Ga 0.8795 0.1205 0.6158
Se 0.1971 0.1971 0.0000
Se 0.3029 0.3029 0.5000
Se 0.6971 0.6971 0.5000
Se 0.8029 0.8029 0.0000

## Properties
energy: -5.17 eV per atom
formation energy (no corrections): -1.067 eV per atom
space-group type: No. 64